The following is a DFT calculation (GGA-PBE) of crystalline HfZnSb at its relaxed geometry.

```
HfZnSb
1.0
0.000 3.333 3.333
3.333 0.000 3.333
3.333 3.333 0.000
Hf Zn Sb
1 1 1
Cartesian
0.000 0.000 0.000
1.666 1.666 1.666
4.999 4.999 4.999
```

Results
Magnetic moment   0.04 μB/f.u.
Raw total energy   -4.986 eV per atom
Space-group type   F-43m (216)
Crystal system   cubic
V   24.68 Å³ per atom

***

The following is a DFT calculation (GGA-PBE) of crystalline SmHoCuTe3 at its relaxed geometry.

```
SmHoCuTe3
1.0
8.387 0.000 0.000
0.000 4.171 0.000
-2.067 0.000 9.781
Sm Ho Cu Te
2 2 2 6
Cartesian
1.073 1.043 2.764
5.247 3.128 7.017
0.984 3.128 8.167
5.335 1.043 1.615
-0.615 1.043 5.627
6.934 3.128 4.154
-1.182 1.043 8.254
1.107 3.128 5.144
3.115 3.128 1.502
3.204 1.043 8.279
5.212 1.043 4.637
7.501 3.128 1.527
```

Results
Magnetic moment   0.01 μB/f.u.
Raw total energy   -4.789 eV per atom
Space-group type   P2_1/m (11)
Crystal system   monoclinic
V   28.52 Å³ per atom

***

The following is a DFT calculation (GGA-PBE) of crystalline NbSiNiIr at its relaxed geometry.

```
NbSiNiIr
1.0
0.000 3.042 3.042
3.042 0.000 3.042
3.042 3.042 0.000
Nb Si Ni Ir
1 1 1 1
Cartesian
0.000 0.000 0.000
1.521 1.521 1.521
3.042 3.042 3.042
4.562 4.562 4.562
```

Results
Magnetic moment   0.00 μB/f.u.
Raw total energy   -7.739 eV per atom
Space-group type   F-43m (216)
Crystal system   cubic
V   14.07 Å³ per atom